Crystalline PmTh2PtRh5 at its relaxed geometry, computed with PBE.

Cell lengths 8.045, 8.045, 8.045 Å; angles 116.81, 116.81, 95.61 degrees
Positions (direct):
Pm: 0.250 0.250 0.000
Pm: 0.750 0.750 0.000
Th: 0.138 0.638 0.777
Th: 0.362 0.138 0.500
Th: 0.638 0.862 0.500
Th: 0.862 0.362 0.223
Pt: 0.250 0.750 0.500
Pt: 0.750 0.250 0.500
Rh: 0.000 0.000 0.000
Rh: 0.054 0.180 0.500
Rh: 0.180 0.680 0.126
Rh: 0.320 0.446 0.500
Rh: 0.446 0.946 0.126
Rh: 0.500 0.500 0.000
Rh: 0.554 0.054 0.874
Rh: 0.680 0.554 0.500
Rh: 0.820 0.320 0.874
Rh: 0.946 0.820 0.500

## Properties
As for the space group: I4/mcm, No. 140.

Crystalline PmTlPtRh at its relaxed geometry, computed with PBE.

Cell lengths 6.887, 6.887, 6.887 Å; angles 90.00, 90.00, 90.00 degrees
Positions (direct):
Pm: 0.000 0.000 0.000
Pm: 0.000 0.500 0.500
Pm: 0.500 0.000 0.500
Pm: 0.500 0.500 0.000
Tl: 0.000 0.000 0.500
Tl: 0.000 0.500 0.000
Tl: 0.500 0.000 0.000
Tl: 0.500 0.500 0.500
Pt: 0.250 0.250 0.750
Pt: 0.250 0.750 0.250
Pt: 0.750 0.250 0.250
Pt: 0.750 0.750 0.750
Rh: 0.250 0.250 0.250
Rh: 0.250 0.750 0.750
Rh: 0.750 0.250 0.750
Rh: 0.750 0.750 0.250

## Properties
As for the space group: F-43m, No. 216.

Crystalline Pm2Zn2Pt5Rh at its relaxed geometry, computed with PBE.

Cell lengths 9.547, 9.547, 3.913 Å; angles 90.00, 90.00, 90.00 degrees
Positions (direct):
Pm: 0.181 0.319 0.000
Pm: 0.319 0.819 0.000
Pm: 0.681 0.181 0.000
Pm: 0.819 0.681 0.000
Zn: 0.119 0.619 0.000
Zn: 0.381 0.119 0.000
Zn: 0.619 0.881 0.000
Zn: 0.881 0.381 0.000
Pt: 0.000 0.500 0.500
Pt: 0.063 0.796 0.500
Pt: 0.204 0.063 0.500
Pt: 0.296 0.563 0.500
Pt: 0.437 0.296 0.500
Pt: 0.500 0.000 0.500
Pt: 0.563 0.704 0.500
Pt: 0.704 0.437 0.500
Pt: 0.796 0.937 0.500
Pt: 0.937 0.204 0.500
Rh: 0.000 0.000 0.000
Rh: 0.500 0.500 0.000

## Properties
As for the space group: P4/mbm, No. 127.

Crystalline Pm2Zn4Pt3Rh at its relaxed geometry, computed with PBE.

Cell lengths 4.163, 4.163, 10.891 Å; angles 90.00, 90.00, 90.00 degrees
Positions (direct):
Pm: 0.000 0.500 0.237
Pm: 0.500 0.000 0.763
Zn: 0.000 0.000 0.500
Zn: 0.000 0.500 0.870
Zn: 0.500 0.000 0.130
Zn: 0.500 0.500 0.500
Pt: 0.000 0.000 0.000
Pt: 0.000 0.500 0.642
Pt: 0.500 0.000 0.358
Rh: 0.500 0.500 0.000

## Properties
As for the space group: P-4m2, No. 115.

no.,DOS at the Fermi energy (states/eV/f.u.),total DFT energy (no corrections) (eV/atom)
1,7.2,-7.346
2,3.6,-5.640
3,10.1,-5.648
4,5.6,-4.732